1.
DFT (PBE) results for a relaxed structure of MnFe2HIr.

Cell: 3.6937 3.6937 3.8449 Å, 90.00 90.00 90.00°
Last column: nearest neighbours and their distance in Å.
Positions (direct):
Mn 0.0000 0.0000 0.0000  4 Ir 2.61, 8 Fe 2.67
Fe 0.0000 0.5000 0.5000  2 H 1.85
Fe 0.5000 0.0000 0.5000  2 H 1.85
H 0.5000 0.5000 0.5000  4 Fe 1.85, 2 Ir 1.92
Ir 0.5000 0.5000 0.0000  2 H 1.92

Computed properties:
- Density: 11.39 g/cm³
- Symmetry: No. 123
- Energy above the lowest structure with this stoichiometry: 0.0 kJ per mole of atoms
- Magnetization: 0.88 μB per formula unit
- DFT total energy: -7.704 eV/atom



2.
DFT (PBE) results for a relaxed structure of MnFe2HIr.

Cell: 3.6180 3.6180 3.6493 Å, 90.00 90.00 90.00°
Last column: nearest neighbours and their distance in Å.
Positions (direct):
Mn 0.0000 0.0000 0.0000  2 H 1.82
Fe 0.0000 0.5000 0.5000  2 H 1.81
Fe 0.5000 0.0000 0.5000  2 H 1.81
H 0.0000 0.0000 0.5000  4 Fe 1.81, 2 Mn 1.82
Ir 0.5000 0.5000 0.0000  4 Mn 2.56, 8 Fe 2.57

Computed properties:
- Density: 12.51 g/cm³
- Symmetry: No. 123
- Energy above the lowest structure with this stoichiometry: 4.9 kJ per mole of atoms
- Magnetization: 0.00 μB per formula unit
- DFT total energy: -7.654 eV/atom



3.
DFT (PBE) results for a relaxed structure of FeMoHIr2.

Cell: 4.8029 4.8029 3.0968 Å, 90.00 90.00 90.00°
Last column: nearest neighbours and their distance in Å.
Positions (direct):
Fe 0.0000 0.0000 0.0000  8 Ir 2.86, 2 Fe 3.10
Mo 0.5000 0.5000 0.5000  2 H 1.55
H 0.5000 0.5000 0.0000  2 Mo 1.55
Ir 0.0000 0.5000 0.5000  2 Mo 2.40
Ir 0.5000 0.0000 0.5000  2 Mo 2.40

Computed properties:
- Density: 12.49 g/cm³
- Symmetry: No. 123
- Energy above the lowest structure with this stoichiometry: 118.2 kJ per mole of atoms
- Magnetization: 0.04 μB per formula unit
- DFT total energy: -6.868 eV/atom



> Look up the magnetization of the first one.

0.88 μB per formula unit



> Which value of magnetization does entry 3 give?

0.04 μB per formula unit



> Which of these has the lowest density?

number 1



> Which of these has the lowest DFT total energy?

number 1